# LaIr2I

LaIr2I at its PBEsol-relaxed geometry (meta-GGA SCAN, Alexandria).

Output
The final energy comes out at -55.357 eV per atom. The space group is No. 122. As for the uncorrected formation energy: 0.1545 eV/atom.

Cell lengths 9.3079, 9.3079, 9.3079 Å; angles 149.70, 149.70, 43.38 degrees
Last column: nearest neighbours and their distance in Å.
Element x y z (fractional)
La: 0.0000 0.0000 0.0000  4 Ir 3.19, 4 I 3.44
La: 0.7500 0.2500 0.5000  4 Ir 3.19, 4 I 3.44
Ir: 0.2871 0.6250 0.1621  2 I 2.52, 2 Ir 2.58
Ir: 0.3750 0.5371 0.6621  2 I 2.52, 2 Ir 2.58
Ir: 0.4629 0.1250 0.8379  2 I 2.52, 2 Ir 2.58
Ir: 0.8750 0.7129 0.3379  2 I 2.52, 2 Ir 2.58
I: 0.2500 0.7500 0.5000  4 Ir 2.52
I: 0.5000 0.5000 0.0000  4 Ir 2.52

# LaIrI2

LaIrI2 at its PBEsol-relaxed geometry (meta-GGA SCAN, Alexandria).

Output
The final energy comes out at -46.827 eV per atom. The space group is No. 225. As for the uncorrected formation energy: 0.0947 eV/atom.

Cell lengths 5.2069, 5.2069, 5.2069 Å; angles 60.00, 60.00, 60.00 degrees
Last column: nearest neighbours and their distance in Å.
Element x y z (fractional)
La: 0.0000 0.0000 0.0000  8 I 3.19
Ir: 0.5000 0.5000 0.5000  8 I 3.19
I: 0.2500 0.2500 0.2500  4 La 3.19, 4 Ir 3.19
I: 0.7500 0.7500 0.7500  4 La 3.19, 4 Ir 3.19

# LiIrI3

LiIrI3 at its PBEsol-relaxed geometry (meta-GGA SCAN, Alexandria).

Output
The final energy comes out at -36.758 eV per atom. The space group is No. 221. As for the uncorrected formation energy: -0.0153 eV/atom.

Cell lengths 5.3954, 5.3954, 5.3954 Å; angles 90.00, 90.00, 90.00 degrees
Last column: nearest neighbours and their distance in Å.
Element x y z (fractional)
Li: 0.0000 0.0000 0.0000  12 I 3.82
Ir: 0.5000 0.5000 0.5000  6 I 2.70
I: 0.0000 0.5000 0.5000  2 Ir 2.70
I: 0.5000 0.0000 0.5000  2 Ir 2.70
I: 0.5000 0.5000 0.0000  2 Ir 2.70

# Li2IrI

Li2IrI at its PBEsol-relaxed geometry (meta-GGA SCAN, Alexandria).

Output
The final energy comes out at -27.948 eV per atom. The space group is No. 225. As for the uncorrected formation energy: 0.2075 eV/atom.

Cell lengths 4.4385, 4.4385, 4.4385 Å; angles 60.00, 60.00, 60.00 degrees
Last column: nearest neighbours and their distance in Å.
Element x y z (fractional)
Li: 0.2500 0.2500 0.2500  4 I 2.72, 4 Ir 2.72
Li: 0.7500 0.7500 0.7500  4 Ir 2.72, 4 I 2.72
Ir: 0.0000 0.0000 0.0000  8 Li 2.72
I: 0.5000 0.5000 0.5000  8 Li 2.72

# LiIrI2N

LiIrI2N at its PBEsol-relaxed geometry (meta-GGA SCAN, Alexandria).

Output
The final energy comes out at -31.322 eV per atom. The space group is No. 123. As for the uncorrected formation energy: -0.0689 eV/atom.

Cell lengths 5.6052, 5.6052, 3.7086 Å; angles 90.00, 90.00, 90.00 degrees
Last column: nearest neighbours and their distance in Å.
Element x y z (fractional)
Li: 0.0000 0.0000 0.0000  8 I 3.36, 2 Li 3.71
Ir: 0.5000 0.5000 0.5000  2 N 1.85
I: 0.0000 0.5000 0.5000  2 Ir 2.80
I: 0.5000 0.0000 0.5000  2 Ir 2.80
N: 0.5000 0.5000 0.0000  2 Ir 1.85

# SrLi2IrI

SrLi2IrI at its PBEsol-relaxed geometry (meta-GGA SCAN, Alexandria).

Output
The final energy comes out at -27.298 eV per atom. The space group is No. 123. As for the uncorrected formation energy: -0.3193 eV/atom.

Cell lengths 4.8498, 4.8498, 5.6285 Å; angles 90.00, 90.00, 90.00 degrees
Last column: nearest neighbours and their distance in Å.
Element x y z (fractional)
Sr: 0.0000 0.0000 0.0000  2 Ir 2.81
Li: 0.0000 0.5000 0.5000  2 Ir 2.42
Li: 0.5000 0.0000 0.5000  2 Ir 2.42
Ir: 0.0000 0.0000 0.5000  4 Li 2.42
I: 0.5000 0.5000 0.0000  4 Sr 3.43, 8 Li 3.71

# MgSbIrI2

MgSbIrI2 at its PBEsol-relaxed geometry (meta-GGA SCAN, Alexandria).

Output
The final energy comes out at -37.033 eV per atom. The space group is No. 123. As for the uncorrected formation energy: 0.3304 eV/atom.

Cell lengths 5.5403, 5.5403, 4.9550 Å; angles 90.00, 90.00, 90.00 degrees
Last column: nearest neighbours and their distance in Å.
Element x y z (fractional)
Mg: 0.0000 0.0000 0.0000  8 I 3.72, 4 Sb 3.92
Sb: 0.5000 0.5000 0.0000  2 Ir 2.48
Ir: 0.5000 0.5000 0.5000  2 Sb 2.48, 4 I 2.77
I: 0.0000 0.5000 0.5000  2 Ir 2.77
I: 0.5000 0.0000 0.5000  2 Ir 2.77

# MoIrI2N

MoIrI2N at its PBEsol-relaxed geometry (meta-GGA SCAN, Alexandria).

Output
The final energy comes out at -36.550 eV per atom. The space group is No. 123. As for the uncorrected formation energy: 1.2019 eV/atom.

Cell lengths 5.3042, 5.3042, 3.6868 Å; angles 90.00, 90.00, 90.00 degrees
Last column: nearest neighbours and their distance in Å.
Element x y z (fractional)
Mo: 0.0000 0.0000 0.0000  2 N 1.84
Ir: 0.5000 0.5000 0.5000  8 I 3.23
I: 0.0000 0.5000 0.0000  2 Mo 2.65
I: 0.5000 0.0000 0.0000  2 Mo 2.65
N: 0.0000 0.0000 0.5000  2 Mo 1.84

# MoIrIO2

MoIrIO2 at its PBEsol-relaxed geometry (meta-GGA SCAN, Alexandria).

Output
The final energy comes out at -30.639 eV per atom. The space group is No. 123. As for the uncorrected formation energy: 0.3991 eV/atom.

Cell lengths 3.7710, 3.7710, 7.3913 Å; angles 90.00, 90.00, 90.00 degrees
Last column: nearest neighbours and their distance in Å.
Element x y z (fractional)
Mo: 0.0000 0.0000 0.0000  4 I 2.67
Ir: 0.5000 0.5000 0.5000  4 O 1.89
I: 0.5000 0.5000 0.0000  4 Mo 2.67
O: 0.0000 0.5000 0.5000  2 Ir 1.89
O: 0.5000 0.0000 0.5000  2 Ir 1.89

# MoIrPt2I

MoIrPt2I at its PBEsol-relaxed geometry (meta-GGA SCAN, Alexandria).

Output
The final energy comes out at -54.420 eV per atom. The space group is No. 123. As for the uncorrected formation energy: 2.2020 eV/atom.

Cell lengths 4.7617, 4.7617, 4.8412 Å; angles 90.00, 90.00, 90.00 degrees
Last column: nearest neighbours and their distance in Å.
Element x y z (fractional)
Mo: 0.0000 0.0000 0.0000  2 I 2.42
Ir: 0.5000 0.5000 0.0000  4 Mo 3.37, 8 Pt 3.40
Pt: 0.0000 0.5000 0.5000  2 I 2.38
Pt: 0.5000 0.0000 0.5000  2 I 2.38
I: 0.0000 0.0000 0.5000  4 Pt 2.38, 2 Mo 2.42

# Ir2IN2

Ir2IN2 at its PBEsol-relaxed geometry (meta-GGA SCAN, Alexandria).

Output
The final energy comes out at -38.439 eV per atom. The space group is No. 139. As for the uncorrected formation energy: 1.0653 eV/atom.

Cell lengths 7.9046, 7.9046, 7.9046 Å; angles 153.42, 153.42, 37.94 degrees
Last column: nearest neighbours and their distance in Å.
Element x y z (fractional)
Ir: 0.2500 0.7500 0.5000  4 N 2.08
Ir: 0.7500 0.2500 0.5000  4 N 2.08
I: 0.0000 0.0000 0.0000  4 I 3.63, 8 N 3.74
N: 0.3180 0.3180 0.0000  4 Ir 2.08
N: 0.6820 0.6820 0.0000  4 Ir 2.08

# NaIrIN2

NaIrIN2 at its PBEsol-relaxed geometry (meta-GGA SCAN, Alexandria).

Output
The final energy comes out at -23.760 eV per atom. The space group is No. 123. As for the uncorrected formation energy: 2.3675 eV/atom.

Cell lengths 4.1114, 4.1114, 5.8579 Å; angles 90.00, 90.00, 90.00 degrees
Last column: nearest neighbours and their distance in Å.
Element x y z (fractional)
Na: 0.0000 0.0000 0.0000  4 N 2.06
Ir: 0.5000 0.5000 0.5000  4 I 2.91
I: 0.0000 0.0000 0.5000  4 Ir 2.91, 2 Na 2.93
N: 0.0000 0.5000 0.0000  2 Na 2.06
N: 0.5000 0.0000 0.0000  2 Na 2.06

# NbIrIN2

NbIrIN2 at its PBEsol-relaxed geometry (meta-GGA SCAN, Alexandria).

Output
The final energy comes out at -30.870 eV per atom. The space group is No. 123. As for the uncorrected formation energy: 1.0402 eV/atom.

Cell lengths 3.9362, 3.9362, 5.9075 Å; angles 90.00, 90.00, 90.00 degrees
Last column: nearest neighbours and their distance in Å.
Element x y z (fractional)
Nb: 0.0000 0.0000 0.0000  4 N 1.97
Ir: 0.5000 0.5000 0.5000  4 I 2.78
I: 0.0000 0.0000 0.5000  4 Ir 2.78, 2 Nb 2.95
N: 0.0000 0.5000 0.0000  2 Nb 1.97
N: 0.5000 0.0000 0.0000  2 Nb 1.97